# Hf2PaSn GGA-PBE relaxed
data_Hf2PaSn
_cell_length_a 5.1675
_cell_length_b 5.1675
_cell_length_c 12.2495
_cell_angle_alpha 90.00
_cell_angle_beta 90.00
_cell_angle_gamma 120.00
_space_group_name_H-M_alt 'R 3 m'
_space_group_IT_number 160
_space_group_name_Hall 'R 3 -2"'
loop_
_atom_site_label
_atom_site_fract_x
_atom_site_fract_y
_atom_site_fract_z
Hf1 0.0000 0.0000 0.0000
Hf2 0.0000 0.0000 0.2512
Pa1 0.0000 0.0000 0.7651
Sn1 0.0000 0.0000 0.5082
# Crystal system ... trigonal
# Total energy ... -8.240 eV/atom
# Relative energy among the computed polymorphs ... 0.2957 eV per atom
# Formation enthalpy at 0 K ... 0.45 eV per formula unit